Eu3Mn5Cl12: relaxed, PBE.

Properties
Calculated total energy in hartree per atom: -0.226
Space-group type: Ia-3d (230)
Mass density in kg/m³: 3945
Formation energy (no corrections) in eV/atom: -1.20

```
Eu3Mn5Cl12
1.0
13.623 0.000 0.000
-4.541 12.844 0.000
-4.541 -6.422 11.123
Cl Mn Eu
48 20 12
direct
0.880 0.290 0.468 Cl
0.410 0.120 0.589 Cl
0.089 0.178 0.468 Cl
0.911 0.090 0.880 Cl
0.120 0.710 0.532 Cl
0.710 0.590 0.178 Cl
0.589 0.620 0.410 Cl
0.210 0.678 0.090 Cl
0.178 0.089 0.968 Cl
0.710 0.120 0.032 Cl
0.968 0.380 0.290 Cl
0.590 0.710 0.678 Cl
0.589 0.968 0.678 Cl
0.968 0.589 0.178 Cl
0.790 0.322 0.910 Cl
0.468 0.790 0.880 Cl
0.822 0.910 0.290 Cl
0.532 0.210 0.120 Cl
0.032 0.620 0.710 Cl
0.089 0.910 0.120 Cl
0.532 0.322 0.911 Cl
0.678 0.210 0.590 Cl
0.590 0.880 0.411 Cl
0.910 0.822 0.790 Cl
0.822 0.911 0.032 Cl
0.620 0.589 0.910 Cl
0.178 0.090 0.710 Cl
0.120 0.410 0.089 Cl
0.322 0.790 0.410 Cl
0.790 0.468 0.380 Cl
0.380 0.968 0.790 Cl
0.290 0.880 0.968 Cl
0.032 0.411 0.822 Cl
0.380 0.411 0.090 Cl
0.411 0.380 0.590 Cl
0.322 0.532 0.411 Cl
0.910 0.089 0.620 Cl
0.411 0.032 0.322 Cl
0.410 0.290 0.322 Cl
0.290 0.410 0.822 Cl
0.620 0.032 0.210 Cl
0.210 0.532 0.620 Cl
0.468 0.678 0.089 Cl
0.880 0.590 0.911 Cl
0.090 0.178 0.210 Cl
0.678 0.468 0.589 Cl
0.911 0.822 0.532 Cl
0.090 0.911 0.380 Cl
0.875 0.625 0.750 Mn
0.500 0.000 0.500 Mn
0.375 0.125 0.750 Mn
0.250 0.375 0.625 Mn
0.750 0.125 0.875 Mn
0.625 0.750 0.875 Mn
0.000 0.000 0.500 Mn
0.125 0.750 0.375 Mn
0.125 0.375 0.250 Mn
0.250 0.875 0.125 Mn
0.625 0.875 0.250 Mn
0.500 0.000 0.000 Mn
0.875 0.250 0.625 Mn
0.375 0.250 0.125 Mn
0.750 0.625 0.375 Mn
0.500 0.500 0.500 Mn
0.000 0.000 0.000 Mn
0.000 0.500 0.000 Mn
0.000 0.500 0.500 Mn
0.500 0.500 0.000 Mn
0.375 0.750 0.625 Eu
0.625 0.375 0.750 Eu
0.750 0.375 0.125 Eu
0.625 0.250 0.375 Eu
0.875 0.125 0.250 Eu
0.750 0.875 0.625 Eu
0.125 0.875 0.750 Eu
0.125 0.250 0.875 Eu
0.875 0.750 0.125 Eu
0.250 0.625 0.875 Eu
0.375 0.625 0.250 Eu
0.250 0.125 0.375 Eu
```